Model i:
Density functional theory data (GGA-PBEsol) for an optimized crystal structure of Li2CuPt.

abc: 3.6463 3.6463 3.7774
angles: 90.00 90.00 90.00
Closest atoms and distances in Å follow each position.
Positions (direct):
1 Li 0.0000 0.5000 0.0000  4 Li 2.58, 4 Pt 2.63, 4 Cu 2.63
2 Li 0.5000 0.0000 0.0000  4 Li 2.58, 4 Pt 2.63, 4 Cu 2.63
3 Cu 0.0000 0.0000 0.5000  4 Pt 2.58, 8 Li 2.63
4 Pt 0.5000 0.5000 0.5000  4 Cu 2.58, 8 Li 2.63

Output
Its space group is P4/mmm. The value obtained for the total magnetic moment is 0.000 Bohr magnetons per cell.

Model ii:
Density functional theory data (GGA-PBEsol) for an optimized crystal structure of Li2CuPt.

abc: 4.6145 4.6145 4.4533
angles: 100.88 100.88 34.11
Closest atoms and distances in Å follow each position.
Positions (direct):
1 Li 0.0000 0.0000 0.0000  5 Li 2.55-2.72, 4 Pt 2.58-2.64, 3 Cu 2.64-2.77
2 Li 0.2369 0.2369 0.7526  4 Cu 2.53-2.69, 5 Li 2.55-2.72, 3 Pt 2.65-2.71
3 Cu 0.7449 0.7449 0.2767  7 Li 2.53-2.77, 3 Pt 2.56-2.62, 2 Cu 2.71
4 Pt 0.4886 0.4886 0.4882  3 Cu 2.56-2.62, 7 Li 2.58-2.71, 2 Pt 2.71

Output
Its space group is Cm. The value obtained for the total magnetic moment is 0.000 Bohr magnetons per cell.

On energetic grounds, model i is preferred over the next structure by 36 meV per atom.